TaTl2Mo | PBE | relaxed

abc: 3.309 4.861 5.022
angles: 90.00 90.00 90.00
Atoms (fractional coordinates):
Ta1 0.000 0.000 0.000
Tl1 0.000 0.500 0.500
Tl2 0.500 0.500 0.000
Mo1 0.500 0.000 0.500

Values from the calculation:
The space-group type is Pmmm, No. 47. The value obtained for the mass density is 14.10 g/cm3. The value obtained for the total magnetization is 0.000 Bohr magnetons per cell. The distance to the lowest polymorph of the same formula is 296 meV/atom.



KGa | PBE | relaxed

abc: 6.335 6.335 6.335
angles: 138.56 122.87 73.00
Atoms (fractional coordinates):
K1 0.341 0.091 0.250
K2 0.659 0.909 0.750
Ga1 0.049 0.299 0.750
Ga2 0.951 0.701 0.250

Values from the calculation:
The space-group type is Imma, No. 74. The value obtained for the mass density is 2.61 g/cm3. The value obtained for the total magnetization is 0.000 Bohr magnetons per cell. The distance to the lowest polymorph of the same formula is 44 meV/atom.



KMn3C | PBE | relaxed

abc: 4.770 4.770 4.770
angles: 90.00 90.00 90.00
Atoms (fractional coordinates):
K1 0.000 0.000 0.000
Mn1 0.000 0.000 0.500
Mn2 0.000 0.500 0.000
Mn3 0.500 0.000 0.000
C1 0.500 0.500 0.500

Values from the calculation:
The space-group type is Pm-3m, No. 221. The value obtained for the mass density is 3.30 g/cm3. The value obtained for the total magnetization is 11.584 Bohr magnetons per cell. The distance to the lowest polymorph of the same formula is 2515 meV/atom.



SiSnSb3 | PBE | relaxed

abc: 5.248 5.248 5.248
angles: 90.00 90.00 90.00
Atoms (fractional coordinates):
Si1 0.000 0.000 0.000
Sn1 0.500 0.500 0.500
Sb1 0.000 0.000 0.500
Sb2 0.000 0.500 0.000
Sb3 0.500 0.000 0.000

Values from the calculation:
The space-group type is Pm-3m, No. 221. The value obtained for the mass density is 5.88 g/cm3. As for the formation energy from raw total energies: 0.52 eV/atom. The value obtained for the total magnetization is 0.000 Bohr magnetons per cell. The distance to the lowest polymorph of the same formula is 0 meV/atom.



TbHoPaSn | PBE | relaxed

abc: 5.332 5.332 5.332
angles: 60.00 60.00 60.00
Atoms (fractional coordinates):
Tb1 0.000 0.000 0.000
Ho1 0.500 0.500 0.500
Pa1 0.750 0.750 0.750
Sn1 0.250 0.250 0.250

Values from the calculation:
The space-group type is F-43m, No. 216. The value obtained for the mass density is 10.44 g/cm3. The value obtained for the total magnetization is 1.420 Bohr magnetons per cell. Its energy is -5.659 eV/atom.



CeTlBrN | PBE | relaxed

abc: 4.171 4.171 11.832
angles: 90.00 90.00 90.00
Atoms (fractional coordinates):
Ce1 0.250 0.250 0.087
Ce2 0.750 0.750 0.913
Tl1 0.250 0.750 0.500
Tl2 0.750 0.250 0.500
Br1 0.250 0.250 0.753
Br2 0.750 0.750 0.247
N1 0.250 0.750 0.000
N2 0.750 0.250 0.000

Values from the calculation:
The space-group type is P4/nmm, No. 129. The value obtained for the mass density is 7.07 g/cm3. As for the formation energy from raw total energies: -1.15 eV/atom. The value obtained for the total magnetization is 0.717 Bohr magnetons per cell.



CaNp4P5 | PBE | relaxed

abc: 10.626 10.626 10.626
angles: 158.57 149.42 37.65
Atoms (fractional coordinates):
Ca1 0.000 0.000 0.000
Np1 0.203 0.203 0.000
Np2 0.402 0.402 0.000
Np3 0.598 0.598 0.000
Np4 0.797 0.797 0.000
P1 0.107 0.607 0.500
P2 0.302 0.802 0.500
P3 0.500 0.000 0.500
P4 0.698 0.198 0.500
P5 0.893 0.393 0.500

Values from the calculation:
The space-group type is Immm, No. 71. The value obtained for the mass density is 8.52 g/cm3. The value obtained for the total magnetization is 0.171 Bohr magnetons per cell. Its energy is -8.957 eV/atom.



BaLaOs2 | PBE | relaxed

abc: 10.335 10.335 10.335
angles: 151.63 151.63 40.56
Atoms (fractional coordinates):
Ba1 0.000 0.000 0.000
Ba2 0.750 0.250 0.500
La1 0.250 0.750 0.500
La2 0.500 0.500 0.000
Os1 0.357 0.625 0.232
Os2 0.375 0.607 0.732
Os3 0.393 0.125 0.768
Os4 0.875 0.643 0.268

Values from the calculation:
The space-group type is I-42d, No. 122. The value obtained for the mass density is 8.77 g/cm3. The value obtained for the total magnetization is 0.000 Bohr magnetons per cell. The distance to the lowest polymorph of the same formula is 691 meV/atom.



PmErAl4 | PBE | relaxed

abc: 5.597 5.597 5.597
angles: 60.00 60.00 60.00
Atoms (fractional coordinates):
Pm1 0.000 0.000 0.000
Er1 0.750 0.750 0.750
Al1 0.375 0.375 0.375
Al2 0.375 0.375 0.875
Al3 0.375 0.875 0.375
Al4 0.875 0.375 0.375

Values from the calculation:
The space-group type is F-43m, No. 216. The value obtained for the mass density is 5.63 g/cm3. The value obtained for the total magnetization is 0.000 Bohr magnetons per cell. Its energy is -4.548 eV/atom.



Mn5P | PBE | relaxed

abc: 4.370 4.370 4.335
angles: 90.00 90.00 120.00
Atoms (fractional coordinates):
Mn1 0.000 0.500 0.000
Mn2 0.333 0.667 0.500
Mn3 0.500 0.000 0.000
Mn4 0.500 0.500 0.000
Mn5 0.667 0.333 0.500
P1 0.000 0.000 0.500

Values from the calculation:
The space-group type is P6/mmm, No. 191. The value obtained for the mass density is 7.08 g/cm3. The value obtained for the total magnetization is 0.956 Bohr magnetons per cell. The distance to the lowest polymorph of the same formula is 636 meV/atom.



NaHoNb4N8 | PBE | relaxed

abc: 6.489 6.489 6.489
angles: 58.68 58.68 58.68
Atoms (fractional coordinates):
Na1 0.000 0.000 0.000
Ho1 0.383 0.383 0.383
Nb1 0.006 0.006 0.490
Nb2 0.006 0.490 0.006
Nb3 0.490 0.006 0.006
Nb4 0.628 0.628 0.628
N1 0.242 0.242 0.242
N2 0.255 0.255 0.804
N3 0.255 0.804 0.255
N4 0.256 0.740 0.740
N5 0.740 0.256 0.740
N6 0.740 0.740 0.256
N7 0.765 0.765 0.765
N8 0.804 0.255 0.255

Values from the calculation:
The space-group type is R3m, No. 160. The value obtained for the mass density is 5.95 g/cm3. As for the formation energy from raw total energies: -0.77 eV/atom. The value obtained for the total magnetization is 0.000 Bohr magnetons per cell.



La2NdSm5 | PBE | relaxed

abc: 6.684 6.684 16.367
angles: 90.00 90.00 129.09
Atoms (fractional coordinates):
La1 0.219 0.781 0.629
La2 0.219 0.781 0.871
La3 0.781 0.219 0.129
La4 0.781 0.219 0.371
Nd1 0.260 0.740 0.250
Nd2 0.740 0.260 0.750
Sm1 0.078 0.922 0.090
Sm2 0.078 0.922 0.410
Sm3 0.382 0.618 0.051
Sm4 0.382 0.618 0.449
Sm5 0.462 0.538 0.750
Sm6 0.538 0.462 0.250
Sm7 0.618 0.382 0.551
Sm8 0.618 0.382 0.949
Sm9 0.922 0.078 0.590
Sm10 0.922 0.078 0.910

Values from the calculation:
The space-group type is Cmcm, No. 63. The value obtained for the mass density is 6.87 g/cm3. The value obtained for the total magnetization is 0.000 Bohr magnetons per cell. Its energy is -4.650 eV/atom.



In3Bi4Pb4 | PBE | relaxed

abc: 3.436 8.644 11.726
angles: 99.47 93.07 90.69
Atoms (fractional coordinates):
In1 0.000 0.000 0.000
In2 0.031 0.722 0.177
In3 0.969 0.278 0.823
Bi1 0.421 0.204 0.551
Bi2 0.484 0.640 0.914
Bi3 0.516 0.360 0.086
Bi4 0.579 0.796 0.449
Pb1 0.156 0.442 0.352
Pb2 0.438 0.931 0.732
Pb3 0.562 0.069 0.268
Pb4 0.844 0.558 0.648

Values from the calculation:
The space-group type is P-1, No. 2. The value obtained for the mass density is 9.73 g/cm3. The value obtained for the total magnetization is 0.000 Bohr magnetons per cell. The distance to the lowest polymorph of the same formula is 0 meV/atom.



GdAsF | PBE | relaxed

abc: 5.736 5.736 5.736
angles: 146.58 146.58 47.99
Atoms (fractional coordinates):
Gd1 0.000 0.000 0.000
As1 0.300 0.300 0.000
F1 0.578 0.578 0.000

Values from the calculation:
The space-group type is I4mm, No. 107. The value obtained for the mass density is 7.32 g/cm3. As for the formation energy from raw total energies: -1.88 eV/atom. The value obtained for the total magnetization is 6.840 Bohr magnetons per cell. The distance to the lowest polymorph of the same formula is 239 meV/atom.



Cs2GaPb2 | PBE | relaxed

abc: 8.817 8.817 11.509
angles: 126.53 126.53 50.09
Atoms (fractional coordinates):
Cs1 0.130 0.130 0.426
Cs2 0.207 0.207 0.066
Cs3 0.793 0.793 0.934
Cs4 0.870 0.870 0.574
Ga1 0.500 0.500 0.199
Ga2 0.500 0.500 0.801
Pb1 0.365 0.365 0.881
Pb2 0.406 0.406 0.499
Pb3 0.594 0.594 0.501
Pb4 0.635 0.635 0.119

Values from the calculation:
The space-group type is C2/m, No. 12. The value obtained for the mass density is 4.81 g/cm3. The value obtained for the total magnetization is 0.010 Bohr magnetons per cell. The distance to the lowest polymorph of the same formula is 0 meV/atom.



HoHfPd | PBE | relaxed

abc: 6.141 6.141 6.141
angles: 147.77 147.77 46.22
Atoms (fractional coordinates):
Ho1 0.000 0.000 0.000
Hf1 0.302 0.302 0.000
Pd1 0.671 0.671 0.000

Values from the calculation:
The space-group type is I4mm, No. 107. The value obtained for the mass density is 11.38 g/cm3. The value obtained for the total magnetization is 0.000 Bohr magnetons per cell. The distance to the lowest polymorph of the same formula is 0 meV/atom.



NaSrPmSi | PBE | relaxed

abc: 5.394 5.394 5.394
angles: 60.00 60.00 60.00
Atoms (fractional coordinates):
Na1 0.000 0.000 0.000
Sr1 0.250 0.250 0.250
Pm1 0.750 0.750 0.750
Si1 0.500 0.500 0.500

Values from the calculation:
The space-group type is F-43m, No. 216. The value obtained for the mass density is 4.24 g/cm3. As for the formation energy from raw total energies: -0.09 eV/atom. The value obtained for the total magnetization is 0.000 Bohr magnetons per cell.



ScBe2Ag | PBE | relaxed

abc: 3.710 5.096 5.096
angles: 36.85 90.00 90.00
Atoms (fractional coordinates):
Sc1 0.000 0.000 0.000
Be1 0.000 0.280 0.280
Be2 0.500 0.393 0.393
Ag1 0.500 0.697 0.697

Values from the calculation:
The space-group type is Amm2, No. 38. The value obtained for the mass density is 4.91 g/cm3. The value obtained for the total magnetization is 0.000 Bohr magnetons per cell. The distance to the lowest polymorph of the same formula is 16 meV/atom.



Ca3SbP | PBE | relaxed

abc: 4.973 4.973 7.561
angles: 90.00 90.00 90.00
Atoms (fractional coordinates):
Ca1 0.000 0.000 0.000
Ca2 0.000 0.500 0.613
Ca3 0.500 0.000 0.613
Sb1 0.000 0.000 0.387
P1 0.500 0.500 0.824

Values from the calculation:
The space-group type is P4mm, No. 99. The value obtained for the mass density is 2.42 g/cm3. As for the formation energy from raw total energies: -0.64 eV/atom. The value obtained for the total magnetization is 0.000 Bohr magnetons per cell. The distance to the lowest polymorph of the same formula is 456 meV/atom.



ZnCu2Pt8 | PBE | relaxed

abc: 7.011 7.011 5.064
angles: 100.20 100.20 44.35
Atoms (fractional coordinates):
Zn1 0.000 0.000 0.000
Cu1 0.317 0.317 0.421
Cu2 0.683 0.683 0.579
Pt1 0.086 0.578 0.881
Pt2 0.119 0.119 0.583
Pt3 0.422 0.914 0.119
Pt4 0.489 0.489 0.247
Pt5 0.511 0.511 0.753
Pt6 0.578 0.086 0.881
Pt7 0.881 0.881 0.417
Pt8 0.914 0.422 0.119

Values from the calculation:
The space-group type is C2/m, No. 12. The value obtained for the mass density is 17.05 g/cm3. The value obtained for the total magnetization is 0.000 Bohr magnetons per cell. Its energy is -5.220 eV/atom.